Entry 1:
This record from Alexandria describes an optimized crystal structure of V3Cr8Fe. The functional is PBE-GGA.

Summary:
- ΔE_f (eV per atom) = 0.8572

a = 6.229 Å, b = 6.229 Å, c = 8.407 Å
α = 90.00°, β = 90.00°, γ = 90.00°
Space group I-42m (No. 121)
Unique sites:
V  0.000  0.000  0.000 [2 per cell]
V  0.000  0.500  0.250 [4 per cell]
Cr  0.141  0.141  0.253 [8 per cell]
Cr  0.244  0.244  0.504 [8 per cell]
Fe  0.000  0.000  0.500 [2 per cell]



Entry 2:
This record from Alexandria describes an optimized crystal structure of Cs17MgPb11. The functional is PBE-GGA.

Summary:
- ΔE_f (eV per atom) = -0.0941

a = 14.429 Å, b = 20.186 Å, c = 12.485 Å
α = 90.00°, β = 125.07°, γ = 90.00°
Space group Cm (No. 8)
Unique sites:
Cs  0.000  0.000  0.000 [2 per cell]
Cs  0.002  0.000  0.581 [2 per cell]
Cs  0.051  0.345  0.272 [4 per cell]
Cs  0.057  0.354  0.714 [4 per cell]
Cs  0.122  0.148  0.826 [4 per cell]
Cs  0.207  0.500  0.267 [2 per cell]
Cs  0.212  0.500  0.963 [2 per cell]
Cs  0.225  0.226  0.564 [4 per cell]
Cs  0.250  0.000  0.536 [2 per cell]
Cs  0.277  0.129  0.265 [4 per cell]
Cs  0.431  0.279  0.978 [4 per cell]
Mg  0.063  0.500  0.491 [2 per cell]
Pb  0.236  0.317  0.116 [4 per cell]
Pb  0.282  0.420  0.645 [4 per cell]
Pb  0.344  0.000  0.062 [2 per cell]
Pb  0.392  0.314  0.423 [4 per cell]
Pb  0.424  0.078  0.908 [4 per cell]
Pb  0.468  0.396  0.271 [4 per cell]



Entry 3:
This record from Alexandria describes an optimized crystal structure of Li2FeAuN. The functional is PBE-GGA.

Summary:
- formation energy without anion corrections (eV per atom) = -0.320

a = 4.066 Å, b = 4.066 Å, c = 3.546 Å
α = 90.00°, β = 90.00°, γ = 90.00°
Space group P4/mmm (No. 123)
Unique sites:
Li  0.000  0.500  0.000 [2 per cell]
Fe  0.000  0.000  0.500 [1 per cell]
Au  0.500  0.500  0.500 [1 per cell]
N  0.000  0.000  0.000 [1 per cell]



Entry 4:
This record from Alexandria describes an optimized crystal structure of RbVPdSe3. The functional is PBE-GGA.

Summary:
- formation energy without anion corrections (eV per atom) = -0.727

a = 8.622 Å, b = 3.717 Å, c = 10.021 Å
α = 90.00°, β = 115.29°, γ = 90.00°
Space group P2_1/m (No. 11)
Unique sites:
Rb  0.020  0.250  0.273 [2 per cell]
V  0.464  0.250  0.168 [2 per cell]
Pd  0.465  0.750  0.383 [2 per cell]
Se  0.247  0.750  0.123 [2 per cell]
Se  0.319  0.750  0.577 [2 per cell]
Se  0.352  0.250  0.881 [2 per cell]



Entry 5:
This record from Alexandria describes an optimized crystal structure of CdP. The functional is PBE-GGA.

Summary:
- ΔE_f (eV per atom) = 0.1379

a = 4.818 Å, b = 7.320 Å, c = 4.909 Å
α = 90.00°, β = 90.00°, γ = 90.00°
Space group Cmcm (No. 63)
Unique sites:
Cd  0.000  0.180  0.250 [4 per cell]
P  0.000  0.450  0.750 [4 per cell]



Entry 6:
This record from Alexandria describes an optimized crystal structure of B2PO. The functional is PBE-GGA.

Summary:
- formation energy without anion corrections (eV per atom) = 1.455

a = 5.177 Å, b = 5.177 Å, c = 5.177 Å
α = 90.00°, β = 90.00°, γ = 90.00°
Space group Fm-3m (No. 225)
Unique sites:
B  0.250  0.250  0.250 [8 per cell]
P  0.000  0.000  0.000 [4 per cell]
O  0.000  0.000  0.500 [4 per cell]